{"formula": "InTcHg", "functional": "PBE", "state": "relaxed", "lattice_angstrom": [[-1.226, -0.298, 2.819], [-0.365, -2.246, -2.088], [6.045, -3.120, 2.298]], "species": ["In", "Tc", "Hg"], "fractional_positions": [[0.667, 0.333, 0.355], [0.333, 0.667, 0.662], [0.000, 0.000, 0.983]], "formation_enthalpy_0k_kj_per_mol_atoms": 49.6, "final_energy_ev_per_cell": -11.86, "de_polymorph_mev_per_atom": 0.0, "magmom_total_mub_per_cell": 1.034, "volume_a3_per_fu": 59.3, "spacegroup": "P3m1", "n_ef_per_ev_cell": 2.3}